La2Tb5In3 | Alexandria via LeMat-Bulk | PBE | relaxed; V = 32.9 A^3/atom; magnetic moment = 0.5 μB per cell; E_form = -0.108 eV per atom; SG = No. 72; density = 7.2 g cm⁻³
1.0
6.729 0.000 0.000
3.365 9.826 -1.572
3.365 -0.038 9.951
In Tb La
6 10 4
Cartesian
10.094 7.622 3.647
6.729 5.009 1.410
1.682 0.000 0.000
5.047 0.000 0.000
3.365 2.166 4.732
6.729 4.779 6.969
5.047 2.356 2.017
10.094 9.023 0.928
5.047 4.894 4.189
1.682 2.356 2.017
11.777 7.432 6.361
8.412 4.894 4.189
3.365 0.765 7.451
8.412 7.432 6.361
6.729 2.308 8.772
6.729 7.480 -0.393
6.729 1.426 5.399
10.094 4.234 7.802
6.729 8.362 2.980
3.365 5.554 0.576

***

CeDyAgOs | Alexandria via LeMat-Bulk | PBE | relaxed; V = 22.1 A^3/atom; magnetic moment = 0.4 μB per cell; E_form = -0.160 eV per atom; SG = No. 216; density = 11.3 g cm⁻³
1.0
-3.985 0.802 -2.915
-4.593 -0.998 1.713
-3.149 3.745 1.043
Dy Os Ce Ag
1 1 1 1
Cartesian
0.000 0.000 0.000
-8.795 2.662 -0.119
-5.864 1.775 -0.080
-2.932 0.887 -0.040

***

Re2PdI | Alexandria via LeMat-Bulk | PBE | relaxed; V = 19.2 A^3/atom; magnetic moment = 0.0 μB per cell; raw formation energy = 1.04 eV/atom; excess energy over the best structure of this formula in the dataset = 0.0 meV/atom; SG = No. 122; density = 13.1 g cm⁻³
1.0
3.898 0.000 0.000
0.000 3.898 0.000
1.949 1.949 10.113
Re Pd I
4 2 2
Cartesian
4.873 4.616 7.585
2.667 0.975 2.528
2.924 3.180 7.585
1.231 2.924 2.528
1.949 1.949 0.000
1.949 3.898 5.056
0.000 0.000 0.000
3.898 1.949 5.056

***

La2Tb3In4 | Alexandria via LeMat-Bulk | PBE | relaxed; V = 29.6 A^3/atom; magnetic moment = 0.0 μB per cell; E_form = -0.405 eV per atom; excess energy over the best structure of this formula in the dataset = 0.0 meV/atom; SG = No. 12; density = 7.6 g cm⁻³
1.0
5.405 0.001 0.001
2.702 4.674 0.170
-0.002 -0.397 10.519
In Tb La
4 3 2
Cartesian
5.403 2.763 9.563
5.404 -0.253 6.805
2.702 1.514 1.127
2.702 4.531 3.885
0.000 0.000 0.000
2.702 1.388 4.523
5.404 2.890 6.167
5.405 3.026 2.412
2.701 1.252 8.277

***

Ag2GeO2F2 | Alexandria via LeMat-Bulk | PBE | relaxed; V = 12.9 A^3/atom; magnetic moment = 0.0 μB per cell; raw formation energy = -1.22 eV/atom; SG = No. 12; density = 6.6 g cm⁻³
1.0
2.854 0.000 0.000
1.427 6.252 0.290
1.427 1.793 5.141
F Ge Ag O
2 1 2 2
Cartesian
4.280 3.697 4.928
1.427 4.349 0.503
0.000 0.000 0.000
4.280 5.446 3.399
1.427 2.600 2.032
2.854 1.622 3.875
2.854 6.424 1.556

***

CaTb2CeN4 | Alexandria via LeMat-Bulk | PBE | relaxed; V = 15.4 A^3/atom; magnetic moment = 0.0 μB per cell; raw formation energy = -1.46 eV/atom; SG = No. 10; density = 7.5 g cm⁻³
1.0
-2.787 -1.164 -1.848
-1.992 -2.972 4.875
-2.370 5.601 0.048
Tb N Ca Ce
2 4 1 1
Cartesian
-2.181 1.315 2.462
-2.578 2.219 -0.900
-4.663 1.351 2.790
-2.134 -0.867 3.764
-2.486 0.115 0.285
-2.228 3.496 1.159
-2.389 -2.068 1.514
0.000 0.000 0.000

***

BaEuSbCl | Alexandria via LeMat-Bulk | PBE | relaxed; V = 33.1 A^3/atom; magnetic moment = 7.0 μB per cell; raw formation energy = -1.43 eV/atom; SG = No. 216; density = 5.6 g cm⁻³
1.0
-1.804 -2.350 -4.894
-3.892 -4.191 0.103
-5.319 0.990 -1.859
Cl Ba Sb Eu
1 1 1 1
Cartesian
-5.508 -2.776 -3.325
-8.261 -4.164 -4.988
0.000 0.000 0.000
-2.754 -1.388 -1.663

***

ScCoAg2 | Alexandria via LeMat-Bulk | PBE | relaxed; V = 17.0 A^3/atom; magnetic moment = 1.1 μB per cell; E_form = 0.161 eV per atom; SG = No. 65; density = 7.8 g cm⁻³
1.0
-1.001 -3.594 -3.208
0.987 -1.704 4.509
-2.948 0.184 0.714
Sc Co Ag
1 1 2
Cartesian
-0.980 -0.760 2.612
-1.975 -1.705 -1.247
-0.007 -2.649 0.651
0.000 0.000 0.000